Record 1
A plane-wave DFT calculation with GGA-PBE was carried out for Sc2As2Se after structural relaxation.

Structure (extended XYZ):
```
5
Lattice="5.0447 0.0000 0.0000 0.0000 5.0447 0.0000 2.5224 2.5224 4.3489" Properties=species:S:1:pos:R:3 pbc="T T T"
Sc 5.0447 2.5224 2.1744
Sc 2.5224 5.0447 2.1744
As 2.5224 2.5224 1.2183
As 5.0447 5.0447 3.1305
Se 0.0000 0.0000 0.0000
```

Output
**Symmetry**: I4/mmm, No. 139
**V**: 22.1 A^3/atom
**Formation energy (no corrections)**: -0.9829 eV/atom

=====

Record 2
A plane-wave DFT calculation with GGA-PBE was carried out for ScSiAsSe2 after structural relaxation.

Structure (extended XYZ):
```
5
Lattice="5.0840 0.0000 0.0000 0.0000 5.0840 0.0000 0.0000 0.0000 5.1447" Properties=species:S:1:pos:R:3 pbc="T T T"
Sc 0.0000 0.0000 0.0000
As 0.0000 0.0000 2.5723
Si 2.5420 2.5420 2.5723
Se 0.0000 2.5420 0.0000
Se 2.5420 0.0000 0.0000
```

Output
**Symmetry**: P4/mmm, No. 123
**V**: 26.6 A^3/atom
**Formation energy (no corrections)**: 0.1765 eV/atom

=====

Record 3
A plane-wave DFT calculation with GGA-PBE was carried out for Sc6SiAs2Se3 after structural relaxation.

Structure (extended XYZ):
```
12
Lattice="3.8678 0.0000 0.0000 0.0000 7.7782 0.2469 -1.9339 -2.2751 8.1663" Properties=species:S:1:pos:R:3 pbc="T T T"
Sc 0.0000 5.5597 5.7622
Sc 1.9339 3.7088 2.9074
Sc 1.9339 -0.0567 2.6510
Sc 0.0000 1.8471 0.0848
Sc 1.9339 3.6559 8.3284
Sc 0.0000 1.7942 5.5058
Si 1.9339 0.0000 0.0000
As 1.9339 3.6689 5.6079
As 0.0000 1.8341 2.8053
Se 1.9339 3.8891 0.1234
Se 1.9339 -0.2083 5.4630
Se 0.0000 5.7114 2.9502
```

Output
**Symmetry**: C2/m, No. 12
**V**: 20.7 A^3/atom
**Formation energy (no corrections)**: -1.4320 eV/atom

=====

Record 4
A plane-wave DFT calculation with GGA-PBE was carried out for ScSiAsSe2 after structural relaxation.

Structure (extended XYZ):
```
5
Lattice="-3.4900 -1.3939 3.0348 3.2461 -0.8362 3.3490 -0.4497 4.5457 1.5708" Properties=species:S:1:pos:R:3 pbc="T T T"
Sc -0.3468 1.1578 3.9773
As 1.6231 -0.4181 1.6745
Si 0.0000 0.0000 0.0000
Se -0.2248 2.2729 0.7854
Se -1.7450 -0.6970 1.5174
```

Output
**Symmetry**: P4/mmm, No. 123
**V**: 22.1 A^3/atom
**Formation energy (no corrections)**: -0.0700 eV/atom

=====

Record 5
A plane-wave DFT calculation with GGA-PBE was carried out for SmScAsSe after structural relaxation.

Structure (extended XYZ):
```
4
Lattice="3.9650 -0.0007 0.0001 -1.9823 3.4343 0.0001 -1.9813 -1.1436 6.9323" Properties=species:S:1:pos:R:3 pbc="T T T"
Sm 0.3751 -0.2507 4.3985
Sc -1.6079 3.1831 0.6728
As -1.6069 0.8945 6.1928
Se 2.3576 0.8936 2.3905
```

Output
**Symmetry**: R3m, No. 160
**V**: 23.6 A^3/atom
**Formation energy (no corrections)**: -1.5708 eV/atom

=====

Record 6
A plane-wave DFT calculation with GGA-PBE was carried out for ScSnAs2Se after structural relaxation.

Structure (extended XYZ):
```
5
Lattice="5.1484 0.0000 0.0000 0.0000 5.1484 0.0000 0.0000 0.0000 5.2522" Properties=species:S:1:pos:R:3 pbc="T T T"
Sc 2.5742 2.5742 2.6261
As 0.0000 2.5742 0.0000
As 2.5742 0.0000 0.0000
Sn 0.0000 0.0000 0.0000
Se 0.0000 0.0000 2.6261
```

Output
**Symmetry**: P4/mmm, No. 123
**V**: 27.8 A^3/atom
**Formation energy (no corrections)**: 0.4050 eV/atom

=====

Record 7
A plane-wave DFT calculation with GGA-PBE was carried out for Sc4SnAsSe2 after structural relaxation.

Structure (extended XYZ):
```
8
Lattice="3.9341 0.0000 0.0000 0.0000 6.8699 -0.1526 0.0000 2.4018 6.4198" Properties=species:S:1:pos:R:3 pbc="T T T"
Sc 0.0001 6.9535 4.6323
Sc 3.9341 2.3181 1.6349
Sc 1.9671 5.7327 1.5608
Sc 1.9671 3.5389 4.7064
Sn 1.9671 3.4349 -0.0763
As 0.0000 4.6358 3.1336
Se 0.0000 2.4018 6.4198
Se 1.9671 1.2009 3.2099
```

Output
**Symmetry**: P2/m, No. 10
**V**: 21.9 A^3/atom
**Formation energy (no corrections)**: -1.2894 eV/atom

=====

Record 8
A plane-wave DFT calculation with GGA-PBE was carried out for ScSnAs2Se after structural relaxation.

Structure (extended XYZ):
```
5
Lattice="-2.1277 -4.5634 0.9635 4.6587 -2.0291 0.6774 -0.2228 1.1627 5.0151" Properties=species:S:1:pos:R:3 pbc="T T T"
Sc 0.0000 0.0000 0.0000
As 2.3293 -1.0145 0.3387
As -1.0638 -2.2817 0.4817
Sn 1.1541 -2.7149 3.3280
Se -0.1114 0.5814 2.5076
```

Output
**Symmetry**: P4/mmm, No. 123
**V**: 27.1 A^3/atom
**Formation energy (no corrections)**: -0.0632 eV/atom